P:
{"formula": "LiTaS2Cl", "functional": "PBE-GGA", "state": "optimized geometry", "cell": [[4.8139, 0.0000, 0.0000], [0.0000, 4.8139, 0.0000], [0.0000, 0.0000, 4.8878]], "species": ["Cl", "Li", "Ta", "S", "S"], "fractional_positions": [[0.0000, 0.0000, 0.5000], [0.5000, 0.5000, 0.5000], [0.0000, 0.0000, 0.0000], [0.0000, 0.5000, 0.0000], [0.5000, 0.0000, 0.0000]], "space_group": "P4/mmm (123)"}


Q:
{"formula": "LiTaS2Cl", "functional": "PBE-GGA", "state": "optimized geometry", "cell": [[-3.3565, -2.6067, -1.5010], [0.4175, -2.6310, 3.6356], [-2.7225, 2.3473, 2.0114]], "species": ["Cl", "S", "Ta", "S", "Li"], "fractional_positions": [[0.0000, 0.0000, 0.5000], [0.5000, 0.0000, 0.0000], [0.5000, 0.5000, 0.5000], [0.0000, 0.5000, 0.0000], [0.0000, 0.0000, 0.0000]], "space_group": "P4/mmm (123)"}


The structure with the most favorable energy is P; the runner-up is 1100 meV/atom above it.


P:
{"formula": "LiTaSCl2", "functional": "PBE-GGA", "state": "optimized geometry", "cell": [[-2.4306, 3.2264, -2.7924], [-3.7743, -0.1267, 3.1389], [1.9466, 3.6186, 2.4867]], "species": ["Cl", "Cl", "Ta", "Li", "S"], "fractional_positions": [[0.0000, 0.5000, 0.0000], [0.5000, 0.0000, 0.0000], [0.0000, 0.0000, 0.0000], [0.5000, 0.5000, 0.5000], [0.0000, 0.0000, 0.5000]], "space_group": "P4/mmm (123)"}


Q:
{"formula": "LiTaSCl2", "functional": "PBE-GGA", "state": "optimized geometry", "cell": [[4.2611, 0.0000, 0.0000], [0.0000, 4.2611, 0.0000], [0.0000, 0.0000, 4.8865]], "species": ["Cl", "Cl", "S", "Ta", "Li"], "fractional_positions": [[0.5000, 0.0000, 0.0000], [0.0000, 0.5000, 0.0000], [0.0000, 0.0000, 0.5000], [0.5000, 0.5000, 0.5000], [0.0000, 0.0000, 0.0000]], "space_group": "P4/mmm (123)"}


The structure with the most favorable energy is P; the runner-up is 807 meV/atom above it.


P:
{"formula": "LiTcSCl2", "functional": "PBE-GGA", "state": "optimized geometry", "cell": [[-0.7905, 1.0908, 4.8482], [-1.9178, -3.9800, 0.5827], [4.4727, -1.9831, 1.1754]], "species": ["S", "Li", "Cl", "Cl", "Tc"], "fractional_positions": [[0.0000, 0.5000, 0.0000], [0.5000, 0.5000, 0.5000], [0.0000, 0.0000, 0.5000], [0.5000, 0.0000, 0.0000], [0.0000, 0.0000, 0.0000]], "space_group": "P4/mmm (123)"}


Q:
{"formula": "LiTcSCl2", "functional": "PBE-GGA", "state": "optimized geometry", "cell": [[-2.3473, -3.6225, 1.0144], [-0.3942, -0.9522, -4.3127], [4.1843, -2.6543, 0.2035]], "species": ["Cl", "Li", "S", "Cl", "Tc"], "fractional_positions": [[0.5000, 0.0000, 0.0000], [0.0000, 0.0000, 0.0000], [0.0000, 0.0000, 0.5000], [0.0000, 0.5000, 0.0000], [0.5000, 0.5000, 0.5000]], "space_group": "P4/mmm (123)"}


The structure with the most favorable energy is P; the runner-up is 669 meV/atom above it.